Below is a relaxed CePuHgAu crystal, with properties calculated at the PBE level.

Polymorph energy (0 for the lowest one)   0 meV/atom
Magnetic moment   6.87 μB per cell
Total DFT energy (no corrections)   -6.316 eV/atom
Symmetry   P4mm

abc: 3.904 3.904 6.739
angles: 90.00 90.00 90.00
Element x y z (fractional)
Ce: 0.000 0.000 0.000
Pu: 0.000 0.000 0.534
Hg: 0.500 0.500 0.271
Au: 0.500 0.500 0.769